Record 1
Material: TmPuSc2
Method: DFT, GGA-PBE
State: relaxed

Cell and atoms, written as CIF:
```
data_TmPuSc2
_cell_length_a 5.328
_cell_length_b 5.328
_cell_length_c 3.682
_cell_angle_alpha 90.00
_cell_angle_beta 90.00
_cell_angle_gamma 90.00
_space_group_name_H-M_alt 'P 4/m m m'
_space_group_IT_number 123
_space_group_name_Hall '-P 4 2'
loop_
_atom_site_label
_atom_site_type_symbol
_atom_site_fract_x
_atom_site_fract_y
_atom_site_fract_z
Tm1 Tm 0.000 0.000 0.000
Pu1 Pu 0.500 0.500 0.000
Sc1 Sc 0.000 0.500 0.500
```

Output
Calculated formation energy in eV per atom: 0.13
Energy above the most stable polymorph in this dataset in eV per formula unit: 0.21



Record 2
Material: MgUCo2P2
Method: DFT, GGA-PBE
State: relaxed

Cell and atoms, written as CIF:
```
data_MgUCo2P2
_cell_length_a 3.8574
_cell_length_b 3.8574
_cell_length_c 7.0721
_cell_angle_alpha 90.00
_cell_angle_beta 90.00
_cell_angle_gamma 120.00
_space_group_name_H-M_alt 'P -3 m 1'
_space_group_IT_number 164
_space_group_name_Hall '-P 3 2"'
loop_
_atom_site_label
_atom_site_type_symbol
_atom_site_fract_x
_atom_site_fract_y
_atom_site_fract_z
Mg1 Mg 0.0000 0.0000 0.0000
U1 U 0.0000 0.0000 0.5000
Co1 Co 0.3333 0.6667 0.2685
P1 P 0.3333 0.6667 0.7621
```

Output
Calculated formation energy in eV per atom: -0.66